# 1
Below is an optimized crystal structure of Li5Hg4Pb, with properties calculated at the PBE level.

The density of states at the Fermi level is 2.92 states/eV/cell. For the formation energy, the calculation gives -0.3467 eV/atom. For the mass density, the calculation gives 9.0 g/cm³. The spin magnetization comes out at 0.00 μB/cell.

Cell lengths 3.4457, 3.4457, 16.2017 Å; angles 90.00, 90.00, 90.00 degrees
Space group P4/mmm (No. 123)
Unique sites:
Li1 0.0000 0.0000 0.0000 (multiplicity 1)
Li2 0.0000 0.0000 0.1958 (multiplicity 2)
Li3 0.0000 0.0000 0.3888 (multiplicity 2)
Hg1 0.5000 0.5000 0.0975 (multiplicity 2)
Hg2 0.5000 0.5000 0.2923 (multiplicity 2)
Pb1 0.5000 0.5000 0.5000 (multiplicity 1)

# 2
Below is an optimized crystal structure of Be2Nb3Si, with properties calculated at the PBE level.

The formation energy from raw total energies comes out at -190 kJ/mol of formula units. The density of states at the Fermi level is 11.38 states/eV/cell. For the mass density, the calculation gives 6.3 g/cm³. The spin magnetization comes out at 0.00 μB/cell.

Cell lengths 10.1813, 3.5289, 9.5997 Å; angles 90.00, 90.00, 90.00 degrees
Space group Pnma (No. 62)
Unique sites:
Be1 0.0285 0.2500 0.1946 (multiplicity 4)
Be2 0.1946 0.2500 0.4866 (multiplicity 4)
Nb1 0.0424 0.7500 0.3853 (multiplicity 4)
Nb2 0.1181 0.2500 0.9258 (multiplicity 4)
Nb3 0.2016 0.7500 0.7042 (multiplicity 4)
Si1 0.1315 0.7500 0.1239 (multiplicity 4)

# 3
Below is an optimized crystal structure of LiLa2As2O8, with properties calculated at the PBE level.

The formation energy from raw total energies comes out at -2815 kJ/mol of formula units. The density of states at the Fermi level is 3.59 states/eV/cell. For the mass density, the calculation gives 4.8 g/cm³. The spin magnetization comes out at 1.99 μB/cell.

Cell lengths 6.6954, 10.6342, 6.2538 Å; angles 90.00, 120.00, 90.00 degrees
Space group C2 (No. 5)
Unique sites:
Li1 0.0000 0.0000 0.0000 (multiplicity 2)
La1 0.0000 0.7114 0.0000 (multiplicity 2)
La2 0.0000 0.9774 0.5000 (multiplicity 2)
As1 0.0000 0.2416 0.0000 (multiplicity 2)
As2 0.0000 0.4569 0.5000 (multiplicity 2)
O1 0.0810 0.1392 0.8379 (multiplicity 4)
O2 0.0848 0.5577 0.3309 (multiplicity 4)
O3 0.1886 0.8959 0.2748 (multiplicity 4)
O4 0.2495 0.8219 0.8247 (multiplicity 4)

# 4
Below is an optimized crystal structure of Ba2BeBr, with properties calculated at the PBE level.

The formation energy from raw total energies comes out at -174 kJ/mol of formula units. The density of states at the Fermi level is 5.12 states/eV/cell. For the mass density, the calculation gives 3.9 g/cm³. The spin magnetization comes out at 0.64 μB/cell. The offset from the most stable computed form is 20 meV per atom.

Cell lengths 4.7686, 4.7686, 6.7551 Å; angles 90.00, 90.00, 90.00 degrees
Space group P4mm (No. 99)
Unique sites:
Ba1 0.0000 0.0000 0.0000 (multiplicity 1)
Ba2 0.5000 0.5000 0.4994 (multiplicity 1)
Be1 0.0000 0.0000 0.5015 (multiplicity 1)
Br1 0.5000 0.5000 0.9993 (multiplicity 1)